[1]
A relaxed FePBr crystal, computed with PBE-GGA.

Summary:
**Polymorph energy (0 for the lowest one)**: 0.00 eV per formula unit
**SG**: P3m1 (156)
**Formation energy from raw total energies**: -61 meV per atom

a = 3.4730 Å, b = 3.4730 Å, c = 5.8988 Å
α = 90.00°, β = 90.00°, γ = 120.00°
Element x y z (fractional)
Fe  0.0000  0.0000  0.0000
P  0.3333  0.6667  0.1323
Br  0.6667  0.3333  0.7178

[2]
A relaxed Fe2PBr crystal, computed with PBE-GGA.

Summary:
**Polymorph energy (0 for the lowest one)**: 2.20 eV per formula unit
**SG**: Immm (71)
**Formation energy from raw total energies**: 412 meV per atom

a = 3.3947 Å, b = 6.3540 Å, c = 6.7565 Å
α = 90.00°, β = 90.00°, γ = 90.00°
Element x y z (fractional)
Fe  0.0000  0.0000  0.1903
Fe  0.0000  0.0000  0.8097
Fe  0.5000  0.5000  0.3097
Fe  0.5000  0.5000  0.6903
P  0.0000  0.5000  0.5000
P  0.5000  0.0000  0.0000
Br  0.0000  0.5000  0.0000
Br  0.5000  0.0000  0.5000

[3]
A relaxed FePBr crystal, computed with PBE-GGA.

Summary:
**Polymorph energy (0 for the lowest one)**: 1.00 eV per formula unit
**SG**: Fmm2 (42)
**Formation energy from raw total energies**: 273 meV per atom

a = 3.6227 Å, b = 5.4634 Å, c = 12.5649 Å
α = 90.00°, β = 90.00°, γ = 90.00°
Element x y z (fractional)
Fe  0.0000  0.0000  0.0000
Fe  0.0000  0.5000  0.5000
Fe  0.5000  0.0000  0.5000
Fe  0.5000  0.5000  0.0000
P  0.0000  0.0000  0.4006
P  0.0000  0.5000  0.9006
P  0.5000  0.0000  0.9006
P  0.5000  0.5000  0.4006
Br  0.0000  0.0000  0.6405
Br  0.0000  0.5000  0.1405
Br  0.5000  0.0000  0.1405
Br  0.5000  0.5000  0.6405